1.
# Re2TcRu

A crystal of Re2TcRu relaxed with PBEsol (SCAN, the Alexandria database).

Cell lengths 3.8409, 3.8409, 4.6999 Å; angles 114.12, 114.12, 90.00 degrees
Atoms (fractional coordinates):
Tc: 0.0000 0.0000 0.0000
Re: 0.7500 0.2500 0.5000
Re: 0.2500 0.7500 0.5000
Ru: 0.5000 0.5000 0.0000

Results
**Magnetization**: 0.0 μB per cell
**Space group**: I4/mmm
**Formation energy**: 25 meV per atom
**Density of states at the Fermi level**: 3.39 states/eV/cell

***

2.
# ReTc2Ru

A crystal of ReTc2Ru relaxed with PBEsol (SCAN, the Alexandria database).

Cell lengths 3.1691, 3.1691, 5.6417 Å; angles 90.00, 90.00, 90.00 degrees
Atoms (fractional coordinates):
Re: 0.5000 0.5000 0.0000
Tc: 0.0000 0.0000 0.2557
Tc: 0.0000 0.0000 0.7443
Ru: 0.5000 0.5000 0.5000

Results
**Magnetization**: 0.0 μB per cell
**Space group**: P4/mmm
**Formation energy**: 294 meV per atom
**Density of states at the Fermi level**: 3.98 states/eV/cell

***

3.
# ReTc2Ru

A crystal of ReTc2Ru relaxed with PBEsol (SCAN, the Alexandria database).

Cell lengths 2.6980, 4.6940, 4.6940 Å; angles 109.69, 90.00, 90.00 degrees
Atoms (fractional coordinates):
Tc: 0.0000 0.0000 0.5000
Tc: 0.0000 0.5000 0.0000
Re: 0.5000 0.0000 0.0000
Ru: 0.5000 0.5000 0.5000

Results
**Magnetization**: 0.0 μB per cell
**Space group**: Cmmm
**Formation energy**: 38 meV per atom
**Density of states at the Fermi level**: 3.48 states/eV/cell

***

4.
# ReTc2Ru

A crystal of ReTc2Ru relaxed with PBEsol (SCAN, the Alexandria database).

Cell lengths 3.8195, 3.8195, 4.6879 Å; angles 113.98, 113.98, 90.04 degrees
Atoms (fractional coordinates):
Ru: 0.0000 0.0000 0.0000
Tc: 0.7501 0.2499 0.5000
Tc: 0.2499 0.7501 0.5000
Re: 0.5000 0.5000 0.0000

Results
**Magnetization**: 0.0 μB per cell
**Space group**: I4/mmm
**Formation energy**: 34 meV per atom
**Density of states at the Fermi level**: 3.89 states/eV/cell

***

5.
# Re2TcRu

A crystal of Re2TcRu relaxed with PBEsol (SCAN, the Alexandria database).

Cell lengths 3.8376, 3.8376, 4.7040 Å; angles 114.07, 114.07, 90.00 degrees
Atoms (fractional coordinates):
Ru: 0.5000 0.5000 0.0000
Re: 0.0000 0.0000 0.0000
Re: 0.7500 0.2500 0.5000
Tc: 0.2500 0.7500 0.5000

Results
**Magnetization**: 0.0 μB per cell
**Space group**: I-4m2
**Formation energy**: 25 meV per atom
**Density of states at the Fermi level**: 3.45 states/eV/cell

***

6.
# Re2TcRu

A crystal of Re2TcRu relaxed with PBEsol (SCAN, the Alexandria database).

Cell lengths 2.7104, 4.2294, 5.1892 Å; angles 90.00, 104.67, 90.00 degrees
Atoms (fractional coordinates):
Re: 0.8134 0.0000 0.9907
Tc: 0.2087 0.5000 0.7778
Re: 0.9364 0.5000 0.2638
Ru: 0.5415 0.0000 0.4677

Results
**Magnetization**: 0.0 μB per cell
**Space group**: Pm
**Formation energy**: 100 meV per atom
**Density of states at the Fermi level**: 3.40 states/eV/cell

***

7.
# Re2TcRu

A crystal of Re2TcRu relaxed with PBEsol (SCAN, the Alexandria database).

Cell lengths 2.8577, 4.4746, 4.4865 Å; angles 90.00, 90.00, 90.00 degrees
Atoms (fractional coordinates):
Ru: 0.5000 0.5000 0.0000
Re: 0.0000 0.0000 0.0000
Tc: 0.0000 0.5000 0.5000
Re: 0.5000 0.0000 0.5000

Results
**Magnetization**: 0.0 μB per cell
**Space group**: Pmmm
**Formation energy**: 318 meV per atom
**Density of states at the Fermi level**: 4.54 states/eV/cell

***

8.
# Re2TcRu

A crystal of Re2TcRu relaxed with PBEsol (SCAN, the Alexandria database).

Cell lengths 2.7064, 4.7098, 4.7098 Å; angles 109.59, 90.00, 90.00 degrees
Atoms (fractional coordinates):
Re: 0.0000 0.5000 0.0000
Tc: 0.5000 0.5000 0.5000
Re: 0.0000 0.0000 0.5000
Ru: 0.5000 0.0000 0.0000

Results
**Magnetization**: 0.0 μB per cell
**Space group**: Cmmm
**Formation energy**: 30 meV per atom
**Density of states at the Fermi level**: 3.46 states/eV/cell